(1)
## BPt3Pb (PBEsol)

Data for a geometry-optimized BPt3Pb structure.

Output
The density of states at the Fermi level comes out at 5.1 states/eV/f.u. The value obtained for the volume is 25.2 Å³/atom. The value obtained for the energy is -20.31 eV/f.u. The distance to the lowest polymorph of the same formula comes out at 2.319 eV/atom. The calculation puts the size of the total moment at 0.00 μB/atom.

Cell: 5.0137 5.0137 5.0137 Å, 90.00 90.00 90.00°
Last column: nearest neighbours and their distance in Å.
Element x y z (fractional)
Pt1 0.5000 0.0000 0.0000  2 Pb 2.51
Pt2 0.0000 0.0000 0.5000  2 Pb 2.51
Pt3 0.0000 0.5000 0.0000  2 Pb 2.51
Pb1 0.0000 0.0000 0.0000  6 Pt 2.51
B1 0.5000 0.5000 0.5000  12 Pt 3.55

---

(2)
## Li4AuCl (PBEsol)

Data for a geometry-optimized Li4AuCl structure.

Output
The density of states at the Fermi level comes out at 2.4 states/eV/f.u. The value obtained for the volume is 17.4 Å³/atom. The value obtained for the energy is -14.86 eV/f.u. The calculation puts the size of the total moment at 0.25 μB/atom. The raw formation energy comes out at -0.1762 eV per atom.

Cell: 5.2825 5.2825 5.2825 Å, 60.00 60.00 60.00°
Last column: nearest neighbours and their distance in Å.
Element x y z (fractional)
Au1 0.7500 0.7500 0.7500  12 Li 3.10, 4 Cl 3.23
Li1 0.8745 0.3752 0.3752  6 Li 2.64
Li2 0.3752 0.3752 0.3752  6 Li 2.64
Li3 0.3752 0.3752 0.8745  6 Li 2.64
Li4 0.3752 0.8745 0.3752  6 Li 2.64
Cl1 0.0000 0.0000 0.0000  12 Li 3.10, 4 Au 3.23

---

(3)
## TaFe3Ru (PBEsol)

Data for a geometry-optimized TaFe3Ru structure.

Output
The density of states at the Fermi level comes out at 6.7 states/eV/f.u. The value obtained for the volume is 15.6 Å³/atom. The value obtained for the energy is -41.96 eV/f.u. The calculation puts the size of the total moment at 0.79 μB/atom.

Cell: 4.2731 4.2731 4.2731 Å, 90.00 90.00 90.00°
Last column: nearest neighbours and their distance in Å.
Element x y z (fractional)
Fe1 0.5000 0.0000 0.0000  2 Ru 2.14
Fe2 0.0000 0.5000 0.0000  2 Ru 2.14
Fe3 0.0000 0.0000 0.5000  2 Ru 2.14
Ta1 0.5000 0.5000 0.5000  12 Fe 3.02
Ru1 0.0000 0.0000 0.0000  6 Fe 2.14

---

(4)
## LiCoSe (PBEsol)

Data for a geometry-optimized LiCoSe structure.

Output
The density of states at the Fermi level comes out at 0.8 states/eV/f.u. The value obtained for the volume is 14.1 Å³/atom. The value obtained for the energy is -14.29 eV/f.u. The calculation puts the size of the total moment at 0.00 μB/atom. The raw formation energy comes out at -0.2467 eV per atom.

Cell: 3.1226 3.1226 4.8559 Å, 108.76 108.76 90.00°
Last column: nearest neighbours and their distance in Å.
Element x y z (fractional)
Li1 0.6681 0.6681 0.3362  5 Co 2.55-2.83, 5 Se 2.59-2.81
Se1 0.3689 0.3689 0.7378  4 Co 2.35, 1 Li 2.59
Co1 0.9630 0.9630 0.9261  4 Se 2.35, 1 Li 2.55

---

(5)
## FeSb2As2 (PBEsol)

Data for a geometry-optimized FeSb2As2 structure.

Output
The density of states at the Fermi level comes out at 3.6 states/eV/f.u. The value obtained for the volume is 21.2 Å³/atom. The value obtained for the energy is -27.58 eV/f.u. The calculation puts the size of the total moment at 0.35 μB/atom. The raw formation energy comes out at 0.1415 eV per atom.

Cell: 5.7248 6.0874 6.0874 Å, 90.00 90.00 90.00°
Last column: nearest neighbours and their distance in Å.
Element x y z (fractional)
As1 0.0000 0.6479 0.1479  2 Fe 2.32, 1 As 2.55
As2 0.0000 0.3521 0.8521  2 Fe 2.32, 1 As 2.55
As3 0.0000 0.1479 0.3521  2 Fe 2.32, 1 As 2.55
As4 0.0000 0.8521 0.6479  2 Fe 2.32, 1 As 2.55
Sb1 0.5000 0.7876 0.7124  2 As 2.92, 4 Sb 3.08
Sb2 0.5000 0.2124 0.2876  2 As 2.92, 4 Sb 3.08
Sb3 0.5000 0.2876 0.7876  2 As 2.92, 4 Sb 3.08
Sb4 0.5000 0.7124 0.2124  2 As 2.92, 4 Sb 3.08
Fe1 0.0000 0.5000 0.5000  4 As 2.32
Fe2 0.0000 0.0000 0.0000  4 As 2.32

---

(6)
## Sn2Pd3Au (PBEsol)

Data for a geometry-optimized Sn2Pd3Au structure.

Output
The density of states at the Fermi level comes out at 2.7 states/eV/f.u. The value obtained for the volume is 16.9 Å³/atom. The value obtained for the energy is -32.95 eV/f.u. The calculation puts the size of the total moment at 0.00 μB/atom.

Cell: 4.5526 4.5526 5.6464 Å, 90.00 90.00 120.00°
Last column: nearest neighbours and their distance in Å.
Element x y z (fractional)
Sn1 0.3333 0.6667 0.2110  8 Pd 2.66-2.89
Sn2 0.6667 0.3333 0.7890  8 Pd 2.66-2.89
Pd1 0.3333 0.6667 0.7139  5 Sn 2.66-2.84, 3 Au 2.89
Pd2 0.6667 0.3333 0.2861  5 Sn 2.66-2.84, 3 Au 2.89
Pd3 0.0000 0.0000 0.0000  2 Au 2.82, 6 Sn 2.89, 6 Pd 3.09
Au1 0.0000 0.0000 0.5000  8 Pd 2.82-2.89, 6 Sn 3.09

---

Q: What is the volume in the fifth record?
A: 21.2 Å³/atom